Record 1
The following is a DFT calculation (PBE-GGA) of a relaxed DyHgBi2O4 crystal.

Cell: 3.918 3.918 9.612 Å, 90.00 90.00 90.00°
Positions (direct):
Dy 0.000 0.000 0.000
Hg 0.000 0.000 0.500
Bi 0.500 0.500 0.262
Bi 0.500 0.500 0.738
O 0.000 0.500 0.144
O 0.000 0.500 0.856
O 0.500 0.000 0.144
O 0.500 0.000 0.856

- Crystal system: tetragonal
- SG: No. 123
- Magnetic moment: 0.0 μB/cell
- Uncorrected formation energy: -1.681 eV/atom
- Calculated density: 9.509 Mg/m³

=====

Record 2
The following is a DFT calculation (PBE-GGA) of a relaxed DyPaHgBi crystal.

Cell: 5.368 5.368 5.368 Å, 60.00 60.00 60.00°
Positions (direct):
Dy 0.000 0.000 0.000
Pa 0.500 0.500 0.500
Hg 0.250 0.250 0.250
Bi 0.750 0.750 0.750

- Crystal system: cubic
- SG: No. 216
- Magnetic moment: 2.3 μB/cell
- Electronic total energy: -4.7098 eV/atom
- Calculated density: 12.190 Mg/m³

=====

Record 3
The following is a DFT calculation (PBE-GGA) of a relaxed DyHgBiPb crystal.

Cell: 5.471 5.471 5.471 Å, 60.00 60.00 60.00°
Positions (direct):
Dy 0.000 0.000 0.000
Hg 0.250 0.250 0.250
Bi 0.750 0.750 0.750
Pb 0.500 0.500 0.500

- Crystal system: cubic
- SG: No. 216
- Magnetic moment: 0.0 μB/cell
- Electronic total energy: -3.3526 eV/atom
- Calculated density: 11.177 Mg/m³

=====

Record 4
The following is a DFT calculation (PBE-GGA) of a relaxed DyHgBiPd crystal.

Cell: 5.106 5.106 5.106 Å, 60.00 60.00 60.00°
Positions (direct):
Dy 0.000 0.000 0.000
Hg 0.250 0.250 0.250
Bi 0.500 0.500 0.500
Pd 0.750 0.750 0.750

- Crystal system: cubic
- SG: No. 216
- Magnetic moment: 0.0 μB/cell
- Electronic total energy: -3.9745 eV/atom
- Calculated density: 11.969 Mg/m³

=====

Record 5
The following is a DFT calculation (PBE-GGA) of a relaxed PrDyHgBi crystal.

Cell: 5.463 5.463 5.463 Å, 60.00 60.00 60.00°
Positions (direct):
Pr 0.000 0.000 0.000
Dy 0.500 0.500 0.500
Hg 0.750 0.750 0.750
Bi 0.250 0.250 0.250

- Crystal system: cubic
- SG: No. 216
- Magnetic moment: 0.0 μB/cell
- Electronic total energy: -3.9229 eV/atom
- Calculated density: 10.271 Mg/m³

=====

Record 6
The following is a DFT calculation (PBE-GGA) of a relaxed DyPuHgBi crystal.

Cell: 5.396 5.396 5.396 Å, 60.00 60.00 60.00°
Positions (direct):
Dy 0.000 0.000 0.000
Pu 0.500 0.500 0.500
Hg 0.250 0.250 0.250
Bi 0.750 0.750 0.750

- Crystal system: cubic
- SG: No. 216
- Magnetic moment: 6.9 μB/cell
- Electronic total energy: -6.1386 eV/atom
- Calculated density: 12.201 Mg/m³

=====

Record 7
The following is a DFT calculation (PBE-GGA) of a relaxed DyHgBiRh crystal.

Cell: 5.045 5.045 5.045 Å, 60.00 60.00 60.00°
Positions (direct):
Dy 0.000 0.000 0.000
Hg 0.250 0.250 0.250
Bi 0.500 0.500 0.500
Rh 0.750 0.750 0.750

- Crystal system: cubic
- SG: No. 216
- Magnetic moment: 0.0 μB/cell
- Electronic total energy: -4.3654 eV/atom
- Calculated density: 12.342 Mg/m³

=====

Record 8
The following is a DFT calculation (PBE-GGA) of a relaxed DyScHgBi crystal.

Cell: 5.258 5.258 5.258 Å, 60.00 60.00 60.00°
Positions (direct):
Dy 0.000 0.000 0.000
Sc 0.500 0.500 0.500
Hg 0.250 0.250 0.250
Bi 0.750 0.750 0.750

- Crystal system: cubic
- SG: No. 216
- Magnetic moment: 0.0 μB/cell
- Electronic total energy: -4.2025 eV/atom
- Calculated density: 9.967 Mg/m³